1.
Compound: LaNd4Sb5
Source: Alexandria
Functional: PBE
Structure: optimized geometry

Unit cell a=4.550 b=6.425 c=12.018 alpha=105.50 beta=100.91 gamma=90.00
Sites, in units of the cell vectors:
1 Sb 0.398 0.898 0.797
2 Sb 0.200 0.700 0.400
3 Sb 0.800 0.300 0.600
4 Sb 0.602 0.102 0.203
5 Sb 0.000 0.500 0.000
6 Nd 0.600 0.600 0.201
7 Nd 0.201 0.201 0.402
8 Nd 0.400 0.400 0.799
9 Nd 0.799 0.799 0.598
10 La 0.000 0.000 0.000

Values from the calculation:
DOS at the Fermi energy, states/eV per cell: 1.926
Total moment, Bohr magnetons per cell: 0.00
Raw formation energy, eV/atom: -1.2059
Calculated total energy, eV/atom: -5.67
Space-group type: Immm

=====

2.
Compound: La4NdSb5
Source: Alexandria
Functional: PBE
Structure: optimized geometry

Unit cell a=4.607 b=4.607 c=16.600 alpha=97.98 beta=97.98 gamma=90.00
Sites, in units of the cell vectors:
1 La 0.401 0.401 0.801
2 La 0.599 0.599 0.199
3 La 0.200 0.200 0.399
4 La 0.800 0.800 0.601
5 Sb 0.500 0.500 0.000
6 Sb 0.300 0.300 0.600
7 Sb 0.901 0.901 0.802
8 Sb 0.099 0.099 0.198
9 Sb 0.700 0.700 0.400
10 Nd 0.000 0.000 0.000

Values from the calculation:
DOS at the Fermi energy, states/eV per cell: 1.415
Total moment, Bohr magnetons per cell: 0.00
Raw formation energy, eV/atom: -1.2582
Calculated total energy, eV/atom: -5.77
Space-group type: I4/mmm